## i
A plane-wave DFT calculation with meta-GGA SCAN was carried out for a PBEsol-optimized structure of CdSi2.

Results
V, Å³ per atom: 25.57
Total moment, Bohr magnetons per cell: 0.0

CIF file:
```
data_CdSi2
_chemical_formula_sum 'Cd3 Si6'
_cell_length_a 6.7266
_cell_length_b 6.7266
_cell_length_c 5.8739
_cell_angle_alpha 90.00
_cell_angle_beta 90.00
_cell_angle_gamma 120.00
_symmetry_space_group_name_H-M 'P -3 1 m'
_symmetry_Int_Tables_number 162
_symmetry_space_group_name_Hall '-P 3 2'
loop_
_atom_site_label
_atom_site_type_symbol
_atom_site_fract_x
_atom_site_fract_y
_atom_site_fract_z
_atom_site_occupancy
Cd1 Cd 0.0000 0.0000 0.0000 1
Cd2 Cd 0.3333 0.6667 0.5000 1
Si1 Si 0.0000 0.2478 0.6493 1
```

=====

## ii
A plane-wave DFT calculation with meta-GGA SCAN was carried out for a PBEsol-optimized structure of CdSi2.

Results
V, Å³ per atom: 20.48
Total moment, Bohr magnetons per cell: 0.0

CIF file:
```
data_CdSi2
_chemical_formula_sum 'Cd4 Si8'
_cell_length_a 6.263
_cell_length_b 6.263
_cell_length_c 6.263
_cell_angle_alpha 90.00
_cell_angle_beta 90.00
_cell_angle_gamma 90.00
_symmetry_space_group_name_H-M 'F m -3 m'
_symmetry_Int_Tables_number 225
_symmetry_space_group_name_Hall '-F 4 2 3'
loop_
_atom_site_label
_atom_site_type_symbol
_atom_site_fract_x
_atom_site_fract_y
_atom_site_fract_z
_atom_site_occupancy
Cd1 Cd 0.000 0.000 0.000 1
Si1 Si 0.250 0.250 0.250 1
```

=====

The data favor i; the next most stable structure lies 23.3 kJ/mol of atoms above it.

=====

## i
A plane-wave DFT calculation with meta-GGA SCAN was carried out for a PBEsol-optimized structure of CdSi3.

Results
V, Å³ per atom: 17.26
Total moment, Bohr magnetons per cell: 0.0

CIF file:
```
data_CdSi3
_chemical_formula_sum 'Cd2 Si6'
_cell_length_a 5.168
_cell_length_b 5.168
_cell_length_c 5.168
_cell_angle_alpha 90.00
_cell_angle_beta 90.00
_cell_angle_gamma 90.00
_symmetry_space_group_name_H-M 'P m -3 n'
_symmetry_Int_Tables_number 223
_symmetry_space_group_name_Hall '-P 4n 2 3'
loop_
_atom_site_label
_atom_site_type_symbol
_atom_site_fract_x
_atom_site_fract_y
_atom_site_fract_z
_atom_site_occupancy
Cd1 Cd 0.000 0.000 0.000 1
Si1 Si 0.000 0.250 0.500 1
```

=====

## ii
A plane-wave DFT calculation with meta-GGA SCAN was carried out for a PBEsol-optimized structure of CdSi3.

Results
V, Å³ per atom: 16.86
Total moment, Bohr magnetons per cell: 0.0

CIF file:
```
data_CdSi3
_chemical_formula_sum 'Cd2 Si6'
_cell_length_a 5.474
_cell_length_b 9.090
_cell_length_c 2.710
_cell_angle_alpha 90.00
_cell_angle_beta 90.00
_cell_angle_gamma 90.00
_symmetry_space_group_name_H-M 'C m m m'
_symmetry_Int_Tables_number 65
_symmetry_space_group_name_Hall '-C 2 2'
loop_
_atom_site_label
_atom_site_type_symbol
_atom_site_fract_x
_atom_site_fract_y
_atom_site_fract_z
_atom_site_occupancy
Cd1 Cd 0.000 0.000 0.000 1
Si1 Si 0.000 0.500 0.000 1
Si2 Si 0.250 0.250 0.500 1
```

=====

The data favor ii; the next most stable structure lies 9.8 kJ/mol of atoms above it.

=====

## i
A plane-wave DFT calculation with meta-GGA SCAN was carried out for a PBEsol-optimized structure of CdSiTc2.

Results
V, Å³ per atom: 14.74
Total moment, Bohr magnetons per cell: 0.0

CIF file:
```
data_CdSiTc2
_chemical_formula_sum 'Cd4 Si4 Tc8'
_cell_length_a 6.178
_cell_length_b 6.178
_cell_length_c 6.178
_cell_angle_alpha 90.00
_cell_angle_beta 90.00
_cell_angle_gamma 90.00
_symmetry_space_group_name_H-M 'F -4 3 m'
_symmetry_Int_Tables_number 216
_symmetry_space_group_name_Hall 'F -4 2 3'
loop_
_atom_site_label
_atom_site_type_symbol
_atom_site_fract_x
_atom_site_fract_y
_atom_site_fract_z
_atom_site_occupancy
Cd1 Cd 0.000 0.000 0.000 1
Si1 Si 0.250 0.250 0.750 1
Tc1 Tc 0.000 0.000 0.500 1
Tc2 Tc 0.250 0.250 0.250 1
```

=====

## ii
A plane-wave DFT calculation with meta-GGA SCAN was carried out for a PBEsol-optimized structure of CdSiTc2.

Results
V, Å³ per atom: 14.42
Total moment, Bohr magnetons per cell: 0.0

CIF file:
```
data_CdSiTc2
_chemical_formula_sum 'Cd4 Si4 Tc8'
_cell_length_a 6.134
_cell_length_b 6.134
_cell_length_c 6.134
_cell_angle_alpha 90.00
_cell_angle_beta 90.00
_cell_angle_gamma 90.00
_symmetry_space_group_name_H-M 'F m -3 m'
_symmetry_Int_Tables_number 225
_symmetry_space_group_name_Hall '-F 4 2 3'
loop_
_atom_site_label
_atom_site_type_symbol
_atom_site_fract_x
_atom_site_fract_y
_atom_site_fract_z
_atom_site_occupancy
Cd1 Cd 0.000 0.000 0.000 1
Si1 Si 0.000 0.000 0.500 1
Tc1 Tc 0.250 0.250 0.250 1
```

=====

## iii
A plane-wave DFT calculation with meta-GGA SCAN was carried out for a PBEsol-optimized structure of CdSiTc2.

Results
V, Å³ per atom: 14.84
Total moment, Bohr magnetons per cell: 0.0

CIF file:
```
data_CdSiTc2
_chemical_formula_sum 'Cd1 Si1 Tc2'
_cell_length_a 4.582
_cell_length_b 2.808
_cell_length_c 4.955
_cell_angle_alpha 90.00
_cell_angle_beta 111.42
_cell_angle_gamma 90.00
_symmetry_space_group_name_H-M 'P 1 2/m 1'
_symmetry_Int_Tables_number 10
loop_
_symmetry_equiv_pos_as_xyz
'x,y,z'
'-x,-y,-z'
'-x,y,-z'
'x,-y,z'
loop_
_atom_site_label
_atom_site_type_symbol
_atom_site_fract_x
_atom_site_fract_y
_atom_site_fract_z
_atom_site_occupancy
Cd1 Cd 0.000 0.000 0.000 1
Si1 Si 0.000 0.500 0.500 1
Tc1 Tc 0.500 0.000 0.500 1
Tc2 Tc 0.500 0.500 0.000 1
```

=====

The data favor ii; the next most stable structure lies 7.3 kJ/mol of atoms above it.